(1)
Compound: Ca2TaSe
Source: Alexandria via LeMat-Bulk
Functional: PBE
Structure: optimized geometry

Formation energy (no corrections): -0.25 eV/f.u.

a b c (Å): 4.555 3.905 11.716
angles (deg): 90.00 90.00 90.00
Space group Amm2 (No. 38)
Unique sites:
1 Ca 0.000 0.000 0.000 (multiplicity 2)
2 Ca 0.500 0.000 0.313 (multiplicity 2)
3 Ta 0.000 0.000 0.714 (multiplicity 2)
4 Se 0.500 0.000 0.606 (multiplicity 2)



(2)
Compound: YHo2Ag2
Source: Alexandria via LeMat-Bulk
Functional: PBE
Structure: optimized geometry

ΔH_f (0 K): -1.2 eV per formula unit

a b c (Å): 3.622 5.234 13.531
angles (deg): 90.00 97.70 90.00
Space group P2_1/m (No. 11)
Unique sites:
1 Y 0.146 0.250 0.291 (multiplicity 2)
2 Ho 0.047 0.750 0.095 (multiplicity 2)
3 Ho 0.234 0.750 0.468 (multiplicity 2)
4 Ag 0.358 0.250 0.716 (multiplicity 2)
5 Ag 0.453 0.750 0.907 (multiplicity 2)



(3)
Compound: La8NdN6
Source: Alexandria via LeMat-Bulk
Functional: PBE
Structure: optimized geometry

Formation energy (no corrections): -16.41 eV/f.u.

a b c (Å): 6.4398 6.4398 28.9840
angles (deg): 90.00 90.00 120.00
Space group R-3 (No. 148, hexagonal axes)
Unique sites:
1 La 0.0000 0.0000 0.1667 (multiplicity 6)
2 La 0.9998 0.3331 0.0671 (multiplicity 18)
3 Nd 0.0000 0.0000 0.5000 (multiplicity 3)
4 N 0.0000 0.3297 0.5564 (multiplicity 18)



(4)
Compound: La2Y2Ge2N
Source: Alexandria via LeMat-Bulk
Functional: PBE
Structure: optimized geometry

Formation energy (no corrections): -7.44 eV/f.u.

a b c (Å): 4.661 4.661 16.179
angles (deg): 90.00 90.00 90.00
Space group I4/mmm (No. 139)
Unique sites:
1 La 0.000 0.000 0.170 (multiplicity 4)
2 Y 0.000 0.500 0.000 (multiplicity 4)
3 Ge 0.000 0.000 0.369 (multiplicity 4)
4 N 0.000 0.000 0.000 (multiplicity 2)